Compound: Hf4Sc2Zn3C3
Source: OQMD via LeMat-Bulk
Functional: PBE
Structure: optimized geometry

* spin magnetization: 0.00 μB/cell
* final energy: -7.521 eV per atom

a = 5.672 Å, b = 5.672 Å, c = 14.818 Å
α = 101.37°, β = 101.37°, γ = 60.00°
Sites, in units of the cell vectors:
Hf  0.022  0.202  0.084
Hf  0.144  0.306  0.416
Hf  0.202  0.022  0.584
Hf  0.306  0.144  0.916
Hf  0.694  0.856  0.084
Hf  0.798  0.978  0.416
Hf  0.856  0.694  0.584
Hf  0.978  0.798  0.916
Sc  0.373  0.533  0.098
Sc  0.467  0.627  0.402
Sc  0.533  0.373  0.598
Sc  0.627  0.467  0.902
Zn  0.063  0.937  0.750
Zn  0.119  0.414  0.750
Zn  0.414  0.119  0.250
Zn  0.586  0.881  0.750
Zn  0.881  0.586  0.250
Zn  0.937  0.063  0.250
C  0.000  0.500  0.000
C  0.161  0.669  0.500
C  0.331  0.839  0.000
C  0.500  0.000  0.500
C  0.669  0.161  0.000
C  0.839  0.331  0.500